This record from the Alexandria database describes VTe2RuI after structural relaxation. The functional is PBE.

Cell: 5.100 5.100 5.553 Å, 90.00 90.00 90.00°
Space group P4/mmm (No. 123)
One atom of each set of equivalent atoms:
V 0.000 0.000 0.000 (multiplicity 1)
Te 0.000 0.500 0.000 (multiplicity 2)
Ru 0.500 0.500 0.500 (multiplicity 1)
I 0.000 0.000 0.500 (multiplicity 1)

Summary:
For the density, the calculation gives 6.14 Mg/m³. The calculation puts the energy above the lowest structure with this stoichiometry at 0 meV/atom. The calculation puts the raw formation energy at 1.026 eV/atom. The calculation puts the total energy at -21.1 eV for the cell shown. Its crystal system is tetragonal.

This record from the Alexandria database describes VTeRuI2 after structural relaxation. The functional is PBE.

Cell: 5.484 5.484 5.056 Å, 90.00 90.00 90.00°
Space group P4/mmm (No. 123)
One atom of each set of equivalent atoms:
V 0.000 0.000 0.000 (multiplicity 1)
Te 0.500 0.500 0.000 (multiplicity 1)
Ru 0.500 0.500 0.500 (multiplicity 1)
I 0.000 0.500 0.500 (multiplicity 2)

Summary:
For the density, the calculation gives 5.82 Mg/m³. The calculation puts the energy above the lowest structure with this stoichiometry at 0 meV/atom. The calculation puts the raw formation energy at 0.808 eV/atom. The calculation puts the total energy at -20.6 eV for the cell shown. Its crystal system is tetragonal.

This record from the Alexandria database describes TeRuWI2 after structural relaxation. The functional is PBE.

Cell: 5.664 5.664 5.196 Å, 90.00 90.00 90.00°
Space group P4/mmm (No. 123)
One atom of each set of equivalent atoms:
Te 0.000 0.000 0.000 (multiplicity 1)
Ru 0.500 0.500 0.000 (multiplicity 1)
W 0.000 0.000 0.500 (multiplicity 1)
I 0.000 0.500 0.500 (multiplicity 2)

Summary:
For the density, the calculation gives 6.64 Mg/m³. The calculation puts the energy above the lowest structure with this stoichiometry at 0 meV/atom. The calculation puts the raw formation energy at 1.482 eV/atom. The calculation puts the total energy at -21.1 eV for the cell shown. Its crystal system is tetragonal.

This record from the Alexandria database describes YTe2RuI after structural relaxation. The functional is PBE.

Cell: 5.256 5.256 5.287 Å, 90.00 90.00 90.00°
Space group P4/mmm (No. 123)
One atom of each set of equivalent atoms:
Y 0.000 0.000 0.000 (multiplicity 1)
Te 0.000 0.500 0.500 (multiplicity 2)
Ru 0.500 0.500 0.500 (multiplicity 1)
I 0.500 0.500 0.000 (multiplicity 1)

Summary:
For the density, the calculation gives 6.50 Mg/m³. The calculation puts the energy above the lowest structure with this stoichiometry at 0 meV/atom. The calculation puts the raw formation energy at -0.016 eV/atom. The calculation puts the total energy at -23.7 eV for the cell shown. Its crystal system is tetragonal.